No. 1
Computed, not measured: crystalline In2PtSe at its relaxed geometry at the PBE level of DFT.

Cell: 9.460 3.847 5.814 Å, 90.00 108.02 90.00°
Space group Cm (No. 8)
Symmetry-distinct sites (fractional):
In: 0.000 0.000 0.000
In: 0.206 0.000 0.664
Pt: 0.210 0.500 0.990
Se: 0.336 0.000 0.320

Properties
**Uncorrected formation energy**: -0.98 eV per formula unit

No. 2
Computed, not measured: crystalline Ac6ZnGe2 at its relaxed geometry at the PBE level of DFT.

Cell: 5.413 7.609 16.140 Å, 90.00 90.00 90.00°
Space group Immm (No. 71)
Symmetry-distinct sites (fractional):
Ac: 0.000 0.249 0.000
Ac: 0.000 0.249 0.334
Zn: 0.000 0.500 0.500
Ge: 0.000 0.500 0.168

Properties
**ΔH_f (0 K)**: -0.26 eV/atom

No. 3
Computed, not measured: crystalline Tb2Pm2Ir3 at its relaxed geometry at the PBE level of DFT.

Cell: 8.412 4.862 8.589 Å, 90.00 109.04 90.00°
Space group C2/m (No. 12)
Symmetry-distinct sites (fractional):
Tb: 0.125 0.000 0.377
Pm: 0.125 0.500 0.873
Ir: 0.000 0.500 0.500
Ir: 0.248 0.000 0.745

Properties
**Offset from the most stable computed form**: 0 meV/atom
**ΔH_f (0 K)**: -0.73 eV/atom

No. 4
Computed, not measured: crystalline La3SiSb at its relaxed geometry at the PBE level of DFT.

Cell: 12.719 11.755 8.587 Å, 90.00 90.17 90.00°
Space group C2/c (No. 15)
Symmetry-distinct sites (fractional):
La: 0.095 0.087 0.410
La: 0.104 0.414 0.588
La: 0.250 0.184 0.815
Si: 0.244 0.049 0.128
Sb: 0.000 0.167 0.750
Sb: 0.000 0.340 0.250

Properties
**Offset from the most stable computed form**: 0 meV/atom
**Uncorrected formation energy**: -3.73 eV per formula unit

No. 5
Computed, not measured: crystalline Ba2SrLi2 at its relaxed geometry at the PBE level of DFT.

Cell: 9.626 9.626 5.003 Å, 90.00 90.00 90.00°
Space group P4/mbm (No. 127)
Symmetry-distinct sites (fractional):
Ba: 0.174 0.326 0.000
Sr: 0.000 0.000 0.500
Li: 0.116 0.616 0.500

Properties
**Offset from the most stable computed form**: 0 meV/atom
**ΔH_f (0 K)**: 0.02 eV/atom

No. 6
Computed, not measured: crystalline Cr2GaBr at its relaxed geometry at the PBE level of DFT.

Cell: 6.626 6.626 6.626 Å, 90.00 90.00 90.00°
Space group Fm-3m (No. 225)
Symmetry-distinct sites (fractional):
Cr: 0.250 0.250 0.250
Ga: 0.000 0.000 0.000
Br: 0.000 0.000 0.500

Properties
**Offset from the most stable computed form**: 36 meV/atom
**Uncorrected formation energy**: 2.56 eV per formula unit

No. 7
Computed, not measured: crystalline AsOs2WBr at its relaxed geometry at the PBE level of DFT.

Cell: 4.579 4.579 4.631 Å, 90.00 90.00 90.00°
Space group P4/mmm (No. 123)
Symmetry-distinct sites (fractional):
As: 0.000 0.000 0.000
Os: 0.000 0.500 0.500
W: 0.500 0.500 0.000
Br: 0.500 0.500 0.500

Properties
**Uncorrected formation energy**: 12.17 eV per formula unit

No. 8
Computed, not measured: crystalline TbMnPtRh at its relaxed geometry at the PBE level of DFT.

Cell: 6.590 6.590 6.590 Å, 90.00 90.00 90.00°
Space group F-43m (No. 216)
Symmetry-distinct sites (fractional):
Tb: 0.000 0.000 0.000
Mn: 0.000 0.000 0.500
Pt: 0.250 0.250 0.750
Rh: 0.250 0.250 0.250

Properties
**ΔH_f (0 K)**: -0.59 eV/atom

No. 9
Computed, not measured: crystalline Nd5DySb5 at its relaxed geometry at the PBE level of DFT.

Cell: 14.099 6.320 8.914 Å, 90.00 108.62 90.00°
Space group C2/m (No. 12)
Symmetry-distinct sites (fractional):
Nd: 0.000 0.000 0.000
Nd: 0.165 0.500 0.332
Nd: 0.171 0.500 0.832
Dy: 0.000 0.000 0.500
Sb: 0.000 0.500 0.500
Sb: 0.165 0.000 0.336
Sb: 0.165 0.000 0.830

Properties
**Uncorrected formation energy**: -10.91 eV per formula unit

No. 10
Computed, not measured: crystalline SmDy3Os at its relaxed geometry at the PBE level of DFT.

Cell: 8.562 5.090 13.140 Å, 90.00 90.00 90.00°
Space group Pnma (No. 62)
Symmetry-distinct sites (fractional):
Sm: 0.144 0.250 0.037
Dy: 0.059 0.750 0.221
Dy: 0.084 0.250 0.553
Dy: 0.218 0.750 0.826
Os: 0.042 0.750 0.651

Properties
**Offset from the most stable computed form**: 0 meV/atom
**ΔH_f (0 K)**: -0.09 eV/atom

No. 11
Computed, not measured: crystalline HfP3F at its relaxed geometry at the PBE level of DFT.

Cell: 4.930 4.930 4.930 Å, 90.00 90.00 90.00°
Space group Pm-3m (No. 221)
Symmetry-distinct sites (fractional):
Hf: 0.000 0.000 0.000
P: 0.000 0.000 0.500
F: 0.500 0.500 0.500

Properties
**Offset from the most stable computed form**: 122 meV/atom
**Uncorrected formation energy**: 1.22 eV per formula unit

No. 12
Computed, not measured: crystalline Fe2SiSb at its relaxed geometry at the PBE level of DFT.

Cell: 2.917 2.915 6.232 Å, 90.00 90.15 90.00°
Space group P2/m (No. 10)
Symmetry-distinct sites (fractional):
Fe: 0.001 0.000 0.213
Si: 0.500 0.500 0.000
Sb: 0.500 0.500 0.500

Properties
**Uncorrected formation energy**: 0.42 eV per formula unit

No. 13
Computed, not measured: crystalline PmAsPdPb at its relaxed geometry at the PBE level of DFT.

Cell: 7.183 7.183 7.183 Å, 90.00 90.00 90.00°
Space group F-43m (No. 216)
Symmetry-distinct sites (fractional):
Pm: 0.000 0.000 0.000
As: 0.250 0.250 0.750
Pd: 0.250 0.250 0.250
Pb: 0.000 0.000 0.500

Properties
**ΔH_f (0 K)**: -0.55 eV/atom

No. 14
Computed, not measured: crystalline PrGdEr2 at its relaxed geometry at the PBE level of DFT.

Cell: 8.059 8.059 8.059 Å, 90.00 90.00 90.00°
Space group Fm-3m (No. 225)
Symmetry-distinct sites (fractional):
Pr: 0.000 0.000 0.000
Gd: 0.000 0.000 0.500
Er: 0.250 0.250 0.250

Properties
**Offset from the most stable computed form**: 82 meV/atom
**ΔH_f (0 K)**: 0.10 eV/atom

No. 15
Computed, not measured: crystalline TiZn2Ga2 at its relaxed geometry at the PBE level of DFT.

Cell: 7.312 7.312 3.035 Å, 90.00 90.00 90.00°
Space group P4/mbm (No. 127)
Symmetry-distinct sites (fractional):
Ti: 0.000 0.000 0.000
Zn: 0.164 0.336 0.500
Ga: 0.136 0.636 0.000

Properties
**Offset from the most stable computed form**: 18 meV/atom
**ΔH_f (0 K)**: -0.01 eV/atom

No. 16
Computed, not measured: crystalline Sr2TlHg2 at its relaxed geometry at the PBE level of DFT.

Cell: 4.327 4.327 18.516 Å, 90.00 90.00 90.00°
Space group I4/mmm (No. 139)
Symmetry-distinct sites (fractional):
Sr: 0.000 0.000 0.105
Tl: 0.000 0.000 0.500
Hg: 0.000 0.500 0.250

Properties
**Offset from the most stable computed form**: 115 meV/atom
**ΔH_f (0 K)**: -0.33 eV/atom

No. 17
Computed, not measured: crystalline CsSmBr4 at its relaxed geometry at the PBE level of DFT.

Cell: 17.821 7.164 8.045 Å, 90.00 106.61 90.00°
Space group C2/c (No. 15)
Symmetry-distinct sites (fractional):
Cs: 0.000 0.192 0.250
Sm: 0.250 0.250 0.000
Br: 0.096 0.375 0.942
Br: 0.197 0.076 0.657

Properties
**Offset from the most stable computed form**: 0 meV/atom
**Uncorrected formation energy**: -11.08 eV per formula unit

No. 18
Computed, not measured: crystalline ThSi2Pd4 at its relaxed geometry at the PBE level of DFT.

Cell: 4.278 13.206 4.312 Å, 90.00 90.00 90.00°
Space group Cmmm (No. 65)
Symmetry-distinct sites (fractional):
Th: 0.000 0.000 0.000
Si: 0.000 0.409 0.500
Pd: 0.000 0.178 0.500
Pd: 0.000 0.325 0.000

Properties
**Offset from the most stable computed form**: 18 meV/atom
**Uncorrected formation energy**: -5.52 eV per formula unit

No. 19
Computed, not measured: crystalline AsRuPb2 at its relaxed geometry at the PBE level of DFT.

Cell: 4.589 4.589 8.340 Å, 90.00 90.00 90.00°
Space group I4/mmm (No. 139)
Symmetry-distinct sites (fractional):
As: 0.000 0.000 0.000
Ru: 0.000 0.000 0.500
Pb: 0.000 0.500 0.250

Properties
**ΔH_f (0 K)**: 0.57 eV/atom

No. 20
Computed, not measured: crystalline Sr2TmMnS5 at its relaxed geometry at the PBE level of DFT.

Cell: 3.984 17.497 12.326 Å, 90.00 90.00 90.00°
Space group Cmc2_1 (No. 36)
Symmetry-distinct sites (fractional):
Sr: 0.000 0.120 0.000
Sr: 0.000 0.125 0.645
Tm: 0.000 0.202 0.343
Mn: 0.000 0.444 0.745
S: 0.000 0.040 0.337
S: 0.000 0.298 0.988
S: 0.000 0.317 0.689
S: 0.000 0.350 0.323
S: 0.000 0.500 0.083

Properties
**Uncorrected formation energy**: -14.95 eV per formula unit

Number 1: total magnetic moment 0.00 Bohr magnetons per cell. Number 2: total magnetic moment 0.00 Bohr magnetons per cell. Number 3: total magnetic moment 0.00 Bohr magnetons per cell. Number 4: total magnetic moment 0.00 Bohr magnetons per cell. Number 5: total magnetic moment 0.00 Bohr magnetons per cell. Number 6: total magnetic moment 31.92 Bohr magnetons per cell. Number 7: total magnetic moment 0.00 Bohr magnetons per cell. Number 8: total magnetic moment 18.31 Bohr magnetons per cell. Number 9: total magnetic moment 0.00 Bohr magnetons per cell. Number 10: total magnetic moment 0.00 Bohr magnetons per cell. Number 11: total magnetic moment 0.00 Bohr magnetons per cell. Number 12: total magnetic moment 0.39 Bohr magnetons per cell. Number 13: total magnetic moment 0.00 Bohr magnetons per cell. Number 14: total magnetic moment 30.32 Bohr magnetons per cell. Number 15: total magnetic moment 0.00 Bohr magnetons per cell. Number 16: total magnetic moment 0.00 Bohr magnetons per cell. Number 17: total magnetic moment 0.00 Bohr magnetons per cell. Number 18: total magnetic moment 0.00 Bohr magnetons per cell. Number 19: total magnetic moment 0.00 Bohr magnetons per cell. Number 20: total magnetic moment 16.00 Bohr magnetons per cell.